A relaxed structure of Li2Mn3F8, computed with PBE with a Hubbard U.

As for the calculated total energy: -76.52 eV per formula unit. Its theoretical density is 3.3 g cm⁻³.

The structure belongs to space group P6_3mc (No. 186); the cell edges are 6.4510, 6.4510 and 9.2334 Å and the angles 90.00°, 90.00° and 120.00°. The inequivalent atoms are Li at (0.3333, 0.6667, 0.0000), Li at (0.3333, 0.6667, 0.3649), Mn at (0.1653, 0.3306, 0.7032), F at (0.0000, 0.0000, 0.3188), F at (0.0278, 0.5139, 0.8326), F at (0.1727, 0.3455, 0.0990) and F at (0.3333, 0.6667, 0.5786).